[1]
A plane-wave DFT calculation with GGA-PBE was carried out for a relaxed structure of SrCoPb4.

Summary:
The value obtained for the volume is 761 Å³ per cell. The value obtained for the size of the total moment is 1.96 μB per formula unit. The formation energy comes out at 0.3601 eV/atom.

Lattice parameters (Å, degrees): 9.1313 9.1313 9.1313 90.00 90.00 90.00
With the nearest neighbours (Å) after each atom.
Space group F-43m (No. 216)
One atom of each set of equivalent atoms:
Sr1 0.0000 0.0000 0.0000 x4  12 Pb 3.79, 4 Co 3.95
Co1 0.2500 0.2500 0.7500 x4  12 Pb 3.79, 4 Sr 3.95
Pb1 0.1248 0.1248 0.3752 x16  6 Pb 3.22-3.23

[2]
A plane-wave DFT calculation with GGA-PBE was carried out for a relaxed structure of SrY2CoPb.

Summary:
The value obtained for the volume is 151 Å³ per cell. The value obtained for the size of the total moment is 0.00 μB per formula unit. The formation energy comes out at -0.0955 eV/atom.

Lattice parameters (Å, degrees): 5.2355 5.2355 5.5130 90.00 90.00 90.00
With the nearest neighbours (Å) after each atom.
Space group P4/mmm (No. 123)
One atom of each set of equivalent atoms:
Sr1 0.0000 0.0000 0.0000 x1  2 Co 2.76
Y1 0.0000 0.5000 0.5000 x2  2 Co 2.62
Co1 0.0000 0.0000 0.5000 x1  4 Y 2.62, 2 Sr 2.76
Pb1 0.5000 0.5000 0.0000 x1  4 Sr 3.70, 8 Y 3.80

[3]
A plane-wave DFT calculation with GGA-PBE was carried out for a relaxed structure of SrZn2CoPb.

Summary:
The value obtained for the volume is 115 Å³ per cell. The value obtained for the size of the total moment is 0.67 μB per formula unit. The formation energy comes out at -0.0752 eV/atom.

Lattice parameters (Å, degrees): 4.8036 4.8036 4.9694 90.00 90.00 90.00
With the nearest neighbours (Å) after each atom.
Space group P4/mmm (No. 123)
One atom of each set of equivalent atoms:
Sr1 0.0000 0.0000 0.0000 x1  4 Pb 3.40, 8 Zn 3.46
Zn1 0.0000 0.5000 0.5000 x2  2 Co 2.40
Co1 0.5000 0.5000 0.5000 x1  4 Zn 2.40, 2 Pb 2.48
Pb1 0.5000 0.5000 0.0000 x1  2 Co 2.48

[4]
A plane-wave DFT calculation with GGA-PBE was carried out for a relaxed structure of TaCoPb2.

Summary:
The value obtained for the volume is 339 Å³ per cell. The offset from the most stable computed form comes out at 0.7325 eV/atom. The value obtained for the size of the total moment is 1.89 μB per formula unit. The formation energy comes out at 0.9389 eV/atom.

Lattice parameters (Å, degrees): 6.9709 6.9709 6.9709 90.00 90.00 90.00
With the nearest neighbours (Å) after each atom.
Space group F-43m (No. 216)
One atom of each set of equivalent atoms:
Ta1 0.0000 0.0000 0.0000 x4  4 Pb 3.02, 4 Co 3.02
Co1 0.2500 0.2500 0.7500 x4  4 Ta 3.02, 4 Pb 3.02
Pb1 0.0000 0.0000 0.5000 x4  4 Pb 3.02, 4 Co 3.02
Pb2 0.2500 0.2500 0.2500 x4  4 Ta 3.02, 4 Pb 3.02

[5]
A plane-wave DFT calculation with GGA-PBE was carried out for a relaxed structure of TaCoPb2.

Summary:
The value obtained for the volume is 160 Å³ per cell. The offset from the most stable computed form comes out at 0.5010 eV/atom. The value obtained for the size of the total moment is 0.97 μB per formula unit. The formation energy comes out at 0.7074 eV/atom.

Lattice parameters (Å, degrees): 6.9826 6.9912 3.2757 90.00 90.00 90.00
With the nearest neighbours (Å) after each atom.
Space group Cmmm (No. 65)
One atom of each set of equivalent atoms:
Ta1 0.0000 0.0000 0.0000 x2  8 Pb 2.96, 2 Ta 3.28
Co1 0.0000 0.5000 0.0000 x2  8 Pb 2.96, 2 Co 3.28
Pb1 0.2500 0.2500 0.5000 x4  4 Ta 2.96, 4 Co 2.96, 2 Pb 3.28

[6]
A plane-wave DFT calculation with GGA-PBE was carried out for a relaxed structure of TaCoPb.

Summary:
The value obtained for the volume is 52 Å³ per cell. The value obtained for the size of the total moment is 0.32 μB per formula unit. The formation energy comes out at 0.4941 eV/atom.

Lattice parameters (Å, degrees): 4.4640 4.4640 3.0226 90.00 90.00 120.00
With the nearest neighbours (Å) after each atom.
Space group P3m1 (No. 156)
One atom of each set of equivalent atoms:
Ta1 0.0000 0.0000 0.0000 x1  6 Co 2.98-3.00, 6 Pb 2.99, 2 Ta 3.02
Co1 0.6667 0.3333 0.4920 x1  3 Pb 2.58
Pb1 0.3333 0.6667 0.5009 x1  3 Co 2.58

[7]
A plane-wave DFT calculation with GGA-PBE was carried out for a relaxed structure of TaCoPb2.

Summary:
The value obtained for the volume is 86 Å³ per cell. The offset from the most stable computed form comes out at 0.2630 eV/atom. The value obtained for the size of the total moment is 0.85 μB per formula unit. The formation energy comes out at 0.4694 eV/atom.

Lattice parameters (Å, degrees): 3.9621 4.1079 5.6192 90.00 110.56 90.00
With the nearest neighbours (Å) after each atom.
Space group Pm (No. 6)
One atom of each set of equivalent atoms:
Ta1 0.0000 0.0000 0.0000 x1  2 Co 2.47
Co1 0.1293 0.5000 0.2596 x1  2 Ta 2.47
Pb1 0.4172 0.5000 0.8338 x1  4 Ta 2.98, 3 Co 2.99-3.02
Pb2 0.7157 0.0000 0.4318 x1  3 Ta 2.99-3.02, 4 Co 2.99-3.00

[8]
A plane-wave DFT calculation with GGA-PBE was carried out for a relaxed structure of TaCoPb2.

Summary:
The value obtained for the volume is 81 Å³ per cell. The offset from the most stable computed form comes out at 0.5236 eV/atom. The value obtained for the size of the total moment is 0.77 μB per formula unit. The formation energy comes out at 0.7300 eV/atom.

Lattice parameters (Å, degrees): 3.1920 4.2186 6.1000 90.00 98.45 90.00
With the nearest neighbours (Å) after each atom.
Space group P2/m (No. 10)
One atom of each set of equivalent atoms:
Ta1 0.0000 0.0000 0.0000 x1  8 Pb 2.94-3.24, 2 Ta 3.19, 2 Co 3.23
Co1 0.5000 0.0000 0.5000 x1  4 Pb 2.65
Pb1 0.3354 0.5000 0.7374 x2  2 Co 2.65, 2 Ta 2.94

[9]
A plane-wave DFT calculation with GGA-PBE was carried out for a relaxed structure of TaCoPb2.

Summary:
The value obtained for the volume is 176 Å³ per cell. The offset from the most stable computed form comes out at 0.2741 eV/atom. The value obtained for the size of the total moment is 0.00 μB per formula unit. The formation energy comes out at 0.4805 eV/atom.

Lattice parameters (Å, degrees): 3.2042 4.6781 11.7540 90.00 90.00 90.00
With the nearest neighbours (Å) after each atom.
Space group Imm2 (No. 44)
One atom of each set of equivalent atoms:
Ta1 0.0000 0.0000 0.0000 x2  2 Co 2.39
Co1 0.0000 0.5000 0.6510 x2  2 Ta 2.39
Pb1 0.0000 0.0000 0.3888 x2  4 Ta 3.12, 4 Pb 3.20-3.48, 2 Co 3.22
Pb2 0.0000 0.5000 0.1700 x2  4 Co 2.84, 2 Ta 3.08

[10]
A plane-wave DFT calculation with GGA-PBE was carried out for a relaxed structure of TaCoPb2.

Summary:
The value obtained for the volume is 321 Å³ per cell. The offset from the most stable computed form comes out at 0.6513 eV/atom. The value obtained for the size of the total moment is 1.71 μB per formula unit. The formation energy comes out at 0.8577 eV/atom.

Lattice parameters (Å, degrees): 6.8474 6.8474 6.8474 90.00 90.00 90.00
With the nearest neighbours (Å) after each atom.
Space group Fm-3m (No. 225)
One atom of each set of equivalent atoms:
Ta1 0.0000 0.0000 0.0000 x4  8 Pb 2.97
Co1 0.0000 0.0000 0.5000 x4  8 Pb 2.97
Pb1 0.2500 0.2500 0.2500 x8  4 Ta 2.97, 4 Co 2.97

[11]
A plane-wave DFT calculation with GGA-PBE was carried out for a relaxed structure of TaCoPb2.

Summary:
The value obtained for the volume is 88 Å³ per cell. The offset from the most stable computed form comes out at 0.0000 eV/atom. The value obtained for the size of the total moment is 0.00 μB per formula unit. The formation energy comes out at 0.2064 eV/atom.

Lattice parameters (Å, degrees): 3.2286 3.2286 8.4602 90.00 90.00 90.00
With the nearest neighbours (Å) after each atom.
Space group P4mm (No. 99)
One atom of each set of equivalent atoms:
Ta1 0.0000 0.0000 0.0000 x1  4 Co 2.54
Co1 0.5000 0.5000 0.1318 x1  4 Ta 2.54
Pb1 0.0000 0.0000 0.3721 x1  4 Co 3.06, 1 Ta 3.15, 4 Pb 3.23
Pb2 0.5000 0.5000 0.7339 x1  4 Ta 3.21, 4 Pb 3.23, 1 Co 3.37

[12]
A plane-wave DFT calculation with GGA-PBE was carried out for a relaxed structure of TaCoPb2.

Summary:
The value obtained for the volume is 355 Å³ per cell. The offset from the most stable computed form comes out at 0.7691 eV/atom. The value obtained for the size of the total moment is 0.88 μB per formula unit. The formation energy comes out at 0.9755 eV/atom.

Lattice parameters (Å, degrees): 4.2589 4.2589 19.5748 90.00 90.00 90.00
With the nearest neighbours (Å) after each atom.
Space group I-42d (No. 122)
One atom of each set of equivalent atoms:
Ta1 0.0000 0.0000 0.0000 x4  4 Pb 2.88, 4 Co 3.01
Co1 0.0000 0.0000 0.5000 x4  4 Pb 2.86, 4 Ta 3.01
Pb1 0.2434 0.2500 0.6250 x8  2 Co 2.86, 2 Ta 2.88, 4 Pb 2.97-3.05